1.
VASP calculation (PBE with a Hubbard U) on a geometry-optimized MnVSb2O8 structure.

Results
**SG**: Cmmm
**Total energy**: -82.0 eV per cell

```
MnVSb2O8
1.0
3.2665 -3.4451 0.0000
3.2665 3.4451 0.0000
0.0000 0.0000 6.2068
Mn V Sb O
1 1 2 8
direct
0.0000 0.0000 0.0000
0.0000 0.0000 0.5000
0.5000 0.5000 0.2468
0.5000 0.5000 0.7532
0.1945 0.1945 0.2462
0.1945 0.1945 0.7538
0.3083 0.6917 0.5000
0.3116 0.6884 0.0000
0.6884 0.3116 0.0000
0.6917 0.3083 0.5000
0.8055 0.8055 0.2462
0.8055 0.8055 0.7538
```


2.
VASP calculation (PBE with a Hubbard U) on a geometry-optimized MnV2SbO structure.

Results
**SG**: P4/mmm
**Total energy**: -24.0 eV per cell

```
MnV2SbO
1.0
4.8520 0.0000 0.0000
0.0000 4.8520 0.0000
0.0000 0.0000 4.7898
Mn V Sb O
1 2 1 1
direct
0.0000 0.0000 0.0000
0.0000 0.5000 0.0000
0.5000 0.0000 0.0000
0.0000 0.0000 0.5000
0.5000 0.5000 0.5000
```


3.
VASP calculation (PBE with a Hubbard U) on a geometry-optimized MnV2SbO8 structure.

Results
**SG**: Cmmm
**Total energy**: -87.2 eV per cell

```
MnV2SbO8
1.0
3.2161 -3.2354 0.0000
3.2161 3.2354 0.0000
0.0000 0.0000 6.2368
Mn V Sb O
1 2 1 8
direct
0.0000 0.0000 0.0000
0.5000 0.5000 0.2439
0.5000 0.5000 0.7561
0.0000 0.0000 0.5000
0.2042 0.7958 0.2568
0.2042 0.7958 0.7432
0.3060 0.3060 0.0000
0.3080 0.3080 0.5000
0.6920 0.6920 0.5000
0.6940 0.6940 0.0000
0.7958 0.2042 0.2568
0.7958 0.2042 0.7432
```


4.
VASP calculation (PBE with a Hubbard U) on a geometry-optimized MnVSbO6 structure.

Results
**SG**: P-31c
**Total energy**: -126.6 eV per cell

```
MnVSbO6
1.0
5.1376 0.0000 0.0000
-2.5688 4.4493 0.0000
0.0000 0.0000 9.3714
Mn V Sb O
2 2 2 12
direct
0.0000 0.0000 0.0000
0.0000 0.0000 0.5000
0.3333 0.6667 0.2500
0.6667 0.3333 0.7500
0.3333 0.6667 0.7500
0.6667 0.3333 0.2500
0.0140 0.3684 0.1362
0.0140 0.6455 0.3638
0.3545 0.3684 0.3638
0.3545 0.9860 0.1362
0.3684 0.0140 0.6362
0.3684 0.3545 0.8638
0.6316 0.6455 0.1362
0.6316 0.9860 0.3638
0.6455 0.0140 0.8638
0.6455 0.6316 0.6362
0.9860 0.3545 0.6362
0.9860 0.6316 0.8638
```


5.
VASP calculation (PBE with a Hubbard U) on a geometry-optimized MnSb2WO8 structure.

Results
**SG**: Cmmm
**Total energy**: -81.9 eV per cell

```
MnSb2WO8
1.0
3.3476 -3.4332 0.0000
3.3476 3.4332 0.0000
0.0000 0.0000 6.4264
Mn Sb W O
1 2 1 8
direct
0.0000 0.0000 0.0000
0.5000 0.5000 0.2454
0.5000 0.5000 0.7546
0.0000 0.0000 0.5000
0.2057 0.2057 0.2604
0.2057 0.2057 0.7396
0.3053 0.6947 0.5000
0.3133 0.6867 0.0000
0.6867 0.3133 0.0000
0.6947 0.3053 0.5000
0.7943 0.7943 0.2604
0.7943 0.7943 0.7396
```


6.
VASP calculation (PBE with a Hubbard U) on a geometry-optimized YMnSb2O structure.

Results
**SG**: P4/mmm
**Total energy**: -30.2 eV per cell

```
YMnSb2O
1.0
5.1960 0.0000 0.0000
0.0000 5.1960 0.0000
0.0000 0.0000 4.0391
Y Mn Sb O
1 1 2 1
direct
0.0000 0.0000 0.0000
0.5000 0.5000 0.0000
0.0000 0.5000 0.5000
0.5000 0.0000 0.5000
0.5000 0.5000 0.5000
```